Computed, not measured: a relaxed structure of NdErCuGe at the PBE level of DFT.

POSCAR file:
```
NdErCuGe
1.0
0.0000 3.5627 3.5627
3.5627 0.0000 3.5627
3.5627 3.5627 0.0000
Nd Er Cu Ge
1 1 1 1
Direct
0.0000 0.0000 0.0000
0.5000 0.5000 0.5000
0.7500 0.7500 0.7500
0.2500 0.2500 0.2500
```

Summary:
Space group: F-43m, No. 216
DFT formation energy in eV/atom: -0.466
Final energy in Ha/atom: -0.1829